Computed, not measured: a crystal of WSe3 relaxed with PBEsol at the SCAN level of DFT.

a b c (Å): 2.627 3.202 9.831
angles (deg): 90.00 90.15 90.00
Space group P2/m (No. 10)
Asymmetric unit:
W1 0.000 0.000 0.000 x1
Se1 0.000 0.000 0.500 x1
Se2 0.002 0.500 0.202 x2

Fermi-level density of states = 3.0 states/eV/cell
formation energy without anion corrections = 0.31 eV per atom
size of the total moment = 0.000 μB/atom
E above lowest polymorph = 191.5 meV per atom